Compound: La8CuIr3Br4
Source: Alexandria via LeMat-Bulk
Functional: PBE-GGA
Structure: optimized geometry

Properties
Space group: R-3m (166)
V in Å³/cell: 490.6
Total energy in eV/atom: -5.914
Crystal system: trigonal

Cell: 9.2929 9.2929 9.2929 Å, 54.19 54.19 54.19°
With the nearest neighbours (Å) after each atom.
Element x y z (fractional)
La: 0.2233 0.7366 0.7366  2 Ir 2.87, 1 Cu 2.95
La: 0.2324 0.2324 0.2324  3 Ir 2.90
La: 0.2634 0.2634 0.7767  2 Ir 2.87, 1 Cu 2.95
La: 0.2634 0.7767 0.2634  2 Ir 2.87, 1 Cu 2.95
La: 0.7366 0.2233 0.7366  2 Ir 2.87, 1 Cu 2.95
La: 0.7366 0.7366 0.2233  2 Ir 2.87, 1 Cu 2.95
La: 0.7676 0.7676 0.7676  3 Ir 2.90
La: 0.7767 0.2634 0.2634  2 Ir 2.87, 1 Cu 2.95
Cu: 0.5000 0.5000 0.5000  6 La 2.95
Ir: 0.0000 0.0000 0.5000  6 La 2.87-2.90
Ir: 0.0000 0.5000 0.0000  6 La 2.87-2.90
Ir: 0.5000 0.0000 0.0000  6 La 2.87-2.90
Br: 0.0000 0.0000 0.0000  6 La 3.38
Br: 0.0000 0.5000 0.5000  6 La 3.42-3.45
Br: 0.5000 0.0000 0.5000  6 La 3.42-3.45
Br: 0.5000 0.5000 0.0000  6 La 3.42-3.45

Compound: LiCu2IrBr
Source: Alexandria via LeMat-Bulk
Functional: PBE-GGA
Structure: optimized geometry

Properties
Space group: P4/mmm (123)
V in Å³/cell: 109.8
Total energy in eV/atom: -3.463
Crystal system: tetragonal

Cell: 4.7008 4.7008 4.9701 Å, 90.00 90.00 90.00°
With the nearest neighbours (Å) after each atom.
Element x y z (fractional)
Li: 0.0000 0.0000 0.0000  2 Ir 2.49
Cu: 0.0000 0.5000 0.5000  2 Ir 2.35
Cu: 0.5000 0.0000 0.5000  2 Ir 2.35
Ir: 0.0000 0.0000 0.5000  4 Cu 2.35, 2 Li 2.49
Br: 0.5000 0.5000 0.0000  4 Li 3.32, 8 Cu 3.42

Compound: CuIrBrN2
Source: Alexandria via LeMat-Bulk
Functional: PBE-GGA
Structure: optimized geometry

Properties
Space group: P4/mmm (123)
V in Å³/cell: 75.8
Total energy in eV/atom: -4.369
Crystal system: tetragonal

Cell: 3.7083 3.7083 5.5137 Å, 90.00 90.00 90.00°
With the nearest neighbours (Å) after each atom.
Element x y z (fractional)
Cu: 0.0000 0.0000 0.0000  4 N 1.85
Ir: 0.0000 0.0000 0.5000  4 Br 2.62, 2 Cu 2.76
Br: 0.5000 0.5000 0.5000  4 Ir 2.62
N: 0.0000 0.5000 0.0000  2 Cu 1.85
N: 0.5000 0.0000 0.0000  2 Cu 1.85

Compound: CuIr2BrN
Source: Alexandria via LeMat-Bulk
Functional: PBE-GGA
Structure: optimized geometry

Properties
Space group: P4/mmm (123)
V in Å³/cell: 105.8
Total energy in eV/atom: -5.638
Crystal system: tetragonal

Cell: 3.8187 3.8187 7.2530 Å, 90.00 90.00 90.00°
With the nearest neighbours (Å) after each atom.
Element x y z (fractional)
Cu: 0.0000 0.0000 0.0000  4 Br 2.70
Ir: 0.0000 0.5000 0.5000  2 N 1.91
Ir: 0.5000 0.0000 0.5000  2 N 1.91
Br: 0.5000 0.5000 0.0000  4 Cu 2.70
N: 0.5000 0.5000 0.5000  4 Ir 1.91

Compound: NaCuIrBr6
Source: Alexandria via LeMat-Bulk
Functional: PBE-GGA
Structure: optimized geometry

Properties
Space group: P-31c (163)
V in Å³/cell: 501.4
Total energy in eV/atom: -3.212
Crystal system: trigonal

Cell: 6.6749 6.6749 12.9949 Å, 90.00 90.00 120.00°
With the nearest neighbours (Å) after each atom.
Element x y z (fractional)
Na: 0.0000 0.0000 0.0000  6 Br 3.04
Na: 0.0000 0.0000 0.5000  6 Br 3.04
Cu: 0.3333 0.6667 0.2500  6 Br 2.62
Cu: 0.6667 0.3333 0.7500  6 Br 2.62
Ir: 0.3333 0.6667 0.7500  6 Br 2.51
Ir: 0.6667 0.3333 0.2500  6 Br 2.51
Br: 0.0131 0.3709 0.6404  1 Ir 2.51, 1 Cu 2.62
Br: 0.0131 0.6422 0.8596  1 Ir 2.51, 1 Cu 2.62
Br: 0.3578 0.3709 0.8596  1 Ir 2.51, 1 Cu 2.62
Br: 0.3578 0.9869 0.6404  1 Ir 2.51, 1 Cu 2.62
Br: 0.3709 0.0131 0.1404  1 Ir 2.51, 1 Cu 2.62
Br: 0.3709 0.3578 0.3596  1 Ir 2.51, 1 Cu 2.62
Br: 0.6291 0.6422 0.6404  1 Ir 2.51, 1 Cu 2.62
Br: 0.6291 0.9869 0.8596  1 Ir 2.51, 1 Cu 2.62
Br: 0.6422 0.0131 0.3596  1 Ir 2.51, 1 Cu 2.62
Br: 0.6422 0.6291 0.1404  1 Ir 2.51, 1 Cu 2.62
Br: 0.9869 0.3578 0.1404  1 Ir 2.51, 1 Cu 2.62
Br: 0.9869 0.6291 0.3596  1 Ir 2.51, 1 Cu 2.62

Compound: Nd4CuIrBr2
Source: Alexandria via LeMat-Bulk
Functional: PBE-GGA
Structure: optimized geometry

Properties
Space group: P2/m (10)
V in Å³/cell: 234.1
Total energy in eV/atom: -5.299
Crystal system: monoclinic

Cell: 7.1744 4.2073 8.1326 Å, 90.00 107.53 90.00°
With the nearest neighbours (Å) after each atom.
Element x y z (fractional)
Nd: 0.2300 0.0000 0.1973  2 Ir 2.85, 1 Cu 2.86
Nd: 0.2580 0.5000 0.8012  1 Ir 2.80, 2 Cu 2.89
Nd: 0.7420 0.5000 0.1988  1 Ir 2.80, 2 Cu 2.89
Nd: 0.7700 0.0000 0.8027  2 Ir 2.85, 1 Cu 2.86
Cu: 0.5000 0.0000 0.0000  6 Nd 2.86-2.89
Ir: 0.0000 0.5000 0.0000  6 Nd 2.80-2.85
Br: 0.0000 0.0000 0.5000  6 Nd 3.33-3.35
Br: 0.5000 0.5000 0.5000  6 Nd 3.37-3.40

Compound: Nd8CuIr3Br4
Source: Alexandria via LeMat-Bulk
Functional: PBE-GGA
Structure: optimized geometry

Properties
Space group: R-3m (166)
V in Å³/cell: 469.7
Total energy in eV/atom: -5.715
Crystal system: trigonal

Cell: 9.1571 9.1571 9.1571 Å, 54.22 54.22 54.22°
With the nearest neighbours (Å) after each atom.
Element x y z (fractional)
Nd: 0.2251 0.7354 0.7354  2 Ir 2.83, 1 Cu 2.89
Nd: 0.2323 0.2323 0.2323  3 Ir 2.86
Nd: 0.2646 0.2646 0.7749  2 Ir 2.83, 1 Cu 2.89
Nd: 0.2646 0.7749 0.2646  2 Ir 2.83, 1 Cu 2.89
Nd: 0.7354 0.2251 0.7354  2 Ir 2.83, 1 Cu 2.89
Nd: 0.7354 0.7354 0.2251  2 Ir 2.83, 1 Cu 2.89
Nd: 0.7677 0.7677 0.7677  3 Ir 2.86
Nd: 0.7749 0.2646 0.2646  2 Ir 2.83, 1 Cu 2.89
Cu: 0.5000 0.5000 0.5000  6 Nd 2.89
Ir: 0.0000 0.0000 0.5000  6 Nd 2.83-2.86
Ir: 0.0000 0.5000 0.0000  6 Nd 2.83-2.86
Ir: 0.5000 0.0000 0.0000  6 Nd 2.83-2.86
Br: 0.0000 0.0000 0.0000  6 Nd 3.34
Br: 0.0000 0.5000 0.5000  6 Nd 3.37-3.40
Br: 0.5000 0.0000 0.5000  6 Nd 3.37-3.40
Br: 0.5000 0.5000 0.0000  6 Nd 3.37-3.40

Compound: CuNiIr2Br
Source: Alexandria via LeMat-Bulk
Functional: PBE-GGA
Structure: optimized geometry

Properties
Space group: P4/mmm (123)
V in Å³/cell: 90.7
Total energy in eV/atom: -4.249
Crystal system: tetragonal

Cell: 4.6159 4.6159 4.2588 Å, 90.00 90.00 90.00°
With the nearest neighbours (Å) after each atom.
Element x y z (fractional)
Cu: 0.0000 0.0000 0.0000  8 Ir 3.14, 4 Ni 3.26
Ni: 0.5000 0.5000 0.0000  2 Br 2.13
Ir: 0.0000 0.5000 0.5000  2 Br 2.31
Ir: 0.5000 0.0000 0.5000  2 Br 2.31
Br: 0.5000 0.5000 0.5000  2 Ni 2.13, 4 Ir 2.31

no.,formation energy from raw total energies (eV per atom)
1,-1.114
2,0.665
3,1.887
4,0.725
5,-0.510
6,-0.877
7,-0.995
8,1.605